# Ga2Sn2As, relaxed, DFT PBE
# Fermi-level density of states: 0.489 states/eV per atom
# offset from the most stable computed form: 0.055 eV/atom
# total DFT energy (no corrections): -0.2626 Ry/atom
# theoretical density: 6.34 Mg/m³
# energy of formation: 0.1684 eV/atom
data_Ga2Sn2As
_symmetry_space_group_name_H-M 'P 4/m b m'
_symmetry_Int_Tables_number 127
_symmetry_space_group_name_Hall '-P 4 2ab'
_cell_length_a 8.190
_cell_length_b 8.190
_cell_length_c 3.527
_cell_angle_alpha 90.00
_cell_angle_beta 90.00
_cell_angle_gamma 90.00
loop_
_atom_site_label
_atom_site_type_symbol
_atom_site_fract_x
_atom_site_fract_y
_atom_site_fract_z
Ga1 Ga 0.118 0.382 0.000
Sn1 Sn 0.183 0.683 0.500
As1 As 0.000 0.000 0.500